Entry 1:
A plane-wave DFT calculation with PBE was carried out for K2ScMo after structural relaxation.

Cell: 8.239 8.239 8.239 Å, 90.00 90.00 90.00°
Space group Fm-3m (No. 225)
One atom of each set of equivalent atoms:
K 0.250 0.250 0.250
Sc 0.000 0.000 0.000
Mo 0.000 0.000 0.500

M_tot = 2.8 μB per formula unit
ΔE to the lowest computed polymorph = 837.1 meV per atom
ΔE_f = 1608 meV per atom
Calculated total energy = -3.231 eV per atom

Entry 2:
A plane-wave DFT calculation with PBE was carried out for KSc2Mo after structural relaxation.

Cell: 6.883 8.599 3.107 Å, 90.00 90.16 90.00°
Space group C2/m (No. 12)
One atom of each set of equivalent atoms:
K 0.000 0.000 0.000
Sc 0.250 0.250 0.500
Mo 0.000 0.500 0.000

M_tot = 0.0 μB per formula unit
ΔE to the lowest computed polymorph = 625.0 meV per atom
ΔE_f = 936 meV per atom
Calculated total energy = -5.212 eV per atom

Entry 3:
A plane-wave DFT calculation with PBE was carried out for KSc2Mo after structural relaxation.

Cell: 3.367 3.367 9.956 Å, 90.00 90.13 90.00°
Space group P2/m (No. 10)
One atom of each set of equivalent atoms:
K 0.000 0.000 0.000
Sc 0.498 0.500 0.344
Mo 0.000 0.000 0.500

M_tot = 0.0 μB per formula unit
ΔE to the lowest computed polymorph = 0.0 meV per atom
ΔE_f = 311 meV per atom
Calculated total energy = -5.837 eV per atom

Entry 4:
A plane-wave DFT calculation with PBE was carried out for K2ScMo after structural relaxation.

Cell: 2.987 6.847 13.194 Å, 90.00 90.00 90.00°
Space group Imm2 (No. 44)
One atom of each set of equivalent atoms:
K 0.000 0.000 0.000
K 0.000 0.500 0.208
Sc 0.000 0.000 0.405
Mo 0.000 0.500 0.745

M_tot = 0.0 μB per formula unit
ΔE to the lowest computed polymorph = 265.1 meV per atom
ΔE_f = 1036 meV per atom
Calculated total energy = -3.803 eV per atom

Entry 5:
A plane-wave DFT calculation with PBE was carried out for K2ScMo after structural relaxation.

Cell: 4.325 4.325 6.379 Å, 90.00 90.00 90.00°
Space group P4/mmm (No. 123)
One atom of each set of equivalent atoms:
K 0.000 0.500 0.000
Sc 0.000 0.000 0.500
Mo 0.500 0.500 0.500

M_tot = 2.7 μB per formula unit
ΔE to the lowest computed polymorph = 496.2 meV per atom
ΔE_f = 1267 meV per atom
Calculated total energy = -3.572 eV per atom

Entry 6:
A plane-wave DFT calculation with PBE was carried out for K2ScMo after structural relaxation.

Cell: 5.802 13.034 3.002 Å, 90.00 90.00 90.00°
Space group Cmmm (No. 65)
One atom of each set of equivalent atoms:
K 0.250 0.250 0.000
Sc 0.000 0.000 0.500
Mo 0.000 0.500 0.500

M_tot = 0.3 μB per formula unit
ΔE to the lowest computed polymorph = 524.5 meV per atom
ΔE_f = 1296 meV per atom
Calculated total energy = -3.544 eV per atom

Entry 7:
A plane-wave DFT calculation with PBE was carried out for K2ScMo after structural relaxation.

Cell: 3.408 3.410 11.734 Å, 90.00 90.10 90.00°
Space group Pm (No. 6)
One atom of each set of equivalent atoms:
K 0.000 0.000 0.000
K 0.495 0.500 0.360
Sc 0.497 0.500 0.716
Mo 0.997 0.000 0.588

M_tot = 1.8 μB per formula unit
ΔE to the lowest computed polymorph = 0.0 meV per atom
ΔE_f = 771 meV per atom
Calculated total energy = -4.068 eV per atom

Entry 8:
A plane-wave DFT calculation with PBE was carried out for KSc2Mo after structural relaxation.

Cell: 3.005 4.848 8.076 Å, 90.00 97.48 90.00°
Space group Pm (No. 6)
One atom of each set of equivalent atoms:
K 0.000 0.000 0.000
Sc 0.369 0.500 0.636
Sc 0.531 0.000 0.431
Mo 0.874 0.500 0.347

M_tot = 0.0 μB per formula unit
ΔE to the lowest computed polymorph = 310.3 meV per atom
ΔE_f = 622 meV per atom
Calculated total energy = -5.526 eV per atom

The lowest ΔE_f belongs to which entry? number 3